[1]
Density functional theory data (PBE) for NaTmHg2 after structural relaxation.

Computed properties:
- crystal system = tetragonal
- density of states at the Fermi level (states/eV per cell) = 2.18
- volume (Å³/f.u.) = 98.2
- DFT formation energy (eV per atom) = -0.3532
- total magnetic moment (μB/cell) = 0.0

abc: 3.5064 5.2920 5.2920
angles: 90.00 90.00 90.00
Atoms (fractional coordinates):
Hg 0.0000 0.5000 0.0000
Hg 0.0000 0.0000 0.5000
Tm 0.5000 0.5000 0.5000
Na 0.5000 0.0000 0.0000

=====

[2]
Density functional theory data (PBE) for Ca2ScMn after structural relaxation.

Computed properties:
- crystal system = trigonal
- density of states at the Fermi level (states/eV per cell) = 5.70
- excess energy over the best structure of this formula in the dataset (eV/atom) = 0.293
- volume (Å³/f.u.) = 114.7
- DFT formation energy (eV per atom) = 0.4889
- total magnetic moment (μB/cell) = 4.4

abc: 10.9376 10.9376 10.9376
angles: 18.47 18.47 18.47
Each line ends with the local moment (μB).
Atoms (fractional coordinates):
Mn 0.2500 0.2500 0.2500  3.80
Ca 0.5085 0.5085 0.5085  -0.05
Ca 0.9915 0.9915 0.9915  -0.05
Sc 0.7500 0.7500 0.7500  0.38